This record from Alexandria describes a geometry-optimized Tb3YRh8 structure. The functional is PBE.

a b c (Å): 9.2568 9.2568 9.2568
angles (deg): 33.57 33.57 33.57
With the nearest neighbours (Å) after each atom.
Fractional coordinates of all 12 atoms:
Tb: 0.0000 0.0000 0.0000  12 Rh 3.13-3.14, 4 Tb 3.27-3.28
Tb: 0.1253 0.1253 0.1253  12 Rh 3.13-3.14, 3 Y 3.27, 1 Tb 3.28
Tb: 0.6253 0.6253 0.6253  12 Rh 3.13-3.14, 3 Tb 3.27, 1 Y 3.28
Y: 0.5000 0.5000 0.5000  12 Rh 3.13-3.14, 4 Tb 3.27-3.28
Rh: 0.0626 0.0626 0.5626  6 Rh 2.67
Rh: 0.0626 0.5626 0.0626  6 Rh 2.67
Rh: 0.0626 0.5627 0.5627  6 Rh 2.67
Rh: 0.3126 0.3126 0.3126  6 Rh 2.67
Rh: 0.5626 0.0626 0.0626  6 Rh 2.67
Rh: 0.5627 0.0626 0.5627  6 Rh 2.67
Rh: 0.5627 0.5627 0.0626  6 Rh 2.67
Rh: 0.8126 0.8126 0.8126  6 Rh 2.67

Summary:
* formation enthalpy at 0 K: -0.740 eV/atom
* symmetry: R3m, No. 160
* M_tot: 0.000 μB per atom


This record from Alexandria describes a geometry-optimized TeRu2Pb structure. The functional is PBE.

a b c (Å): 3.1404 3.1404 8.7785
angles (deg): 90.00 90.00 90.00
With the nearest neighbours (Å) after each atom.
Fractional coordinates of all 4 atoms:
Te: 0.0000 0.0000 0.0000  4 Ru 2.71
Ru: 0.0000 0.0000 0.6342  4 Ru 2.78, 4 Pb 2.96
Ru: 0.5000 0.5000 0.8239  4 Te 2.71, 4 Ru 2.78
Pb: 0.5000 0.5000 0.4111  4 Ru 2.96, 4 Pb 3.14

Summary:
* symmetry: P4mm, No. 99
* M_tot: 0.014 μB per atom
* energy above the lowest structure with this stoichiometry: 0 meV/atom
* ΔE_f (raw): 0.315 eV per atom


This record from Alexandria describes a geometry-optimized NpPaPt6 structure. The functional is PBE.

a b c (Å): 4.8114 5.7653 5.2560
angles (deg): 90.00 90.00 90.00
With the nearest neighbours (Å) after each atom.
Fractional coordinates of all 8 atoms:
Np: 0.0000 0.0000 0.0000  12 Pt 2.89-3.03
Pa: 0.5000 0.5000 0.3183  12 Pt 2.89-3.01
Pt: 0.0000 0.2505 0.4937  8 Pt 2.88-3.07, 2 Pa 2.95, 2 Np 2.97-3.03
Pt: 0.0000 0.5000 0.9767  2 Np 2.89, 8 Pt 2.90-3.07, 2 Pa 3.00
Pt: 0.0000 0.7495 0.4937  8 Pt 2.88-3.07, 2 Pa 2.95, 2 Np 2.97-3.03
Pt: 0.5000 0.0000 0.3483  2 Pa 2.89, 8 Pt 2.90-3.12, 2 Np 3.02
Pt: 0.5000 0.2545 0.8245  8 Pt 2.83-3.12, 2 Pa 2.96-3.01, 2 Np 2.96
Pt: 0.5000 0.7455 0.8245  8 Pt 2.83-3.12, 2 Pa 2.96-3.01, 2 Np 2.96

Summary:
* formation enthalpy at 0 K: -0.767 eV/atom
* symmetry: Pmm2, No. 25
* M_tot: 0.421 μB per atom


This record from Alexandria describes a geometry-optimized Ac2Ga4SnAu3 structure. The functional is PBE.

a b c (Å): 4.5468 4.5468 11.0986
angles (deg): 90.00 90.00 90.00
With the nearest neighbours (Å) after each atom.
Fractional coordinates of all 10 atoms:
Ac: 0.0000 0.5000 0.2419  8 Ga 3.45-3.52, 6 Au 3.47-3.66, 2 Sn 3.66
Ac: 0.5000 0.0000 0.7581  8 Ga 3.45-3.52, 6 Au 3.47-3.66, 2 Sn 3.66
Ga: 0.0000 0.0000 0.0000  4 Au 2.66
Ga: 0.0000 0.5000 0.6449  3 Au 2.56-2.78, 2 Sn 2.78
Ga: 0.5000 0.0000 0.3551  3 Au 2.56-2.78, 2 Sn 2.78
Ga: 0.5000 0.5000 0.0000  4 Au 2.66
Sn: 0.0000 0.0000 0.5000  4 Ga 2.78
Au: 0.0000 0.5000 0.8754  5 Ga 2.56-2.66
Au: 0.5000 0.0000 0.1246  5 Ga 2.56-2.66
Au: 0.5000 0.5000 0.5000  4 Ga 2.78

Summary:
* formation enthalpy at 0 K: -0.646 eV/atom
* symmetry: P-4m2, No. 115
* M_tot: 0.000 μB per atom


This record from Alexandria describes a geometry-optimized ErMgCd2 structure. The functional is PBE.

a b c (Å): 5.0030 5.0030 3.8012
angles (deg): 90.00 90.00 90.00
With the nearest neighbours (Å) after each atom.
Fractional coordinates of all 4 atoms:
Er: 0.0000 0.0000 0.0000  8 Cd 3.14
Mg: 0.5000 0.5000 0.0000  8 Cd 3.14
Cd: 0.0000 0.5000 0.5000  4 Mg 3.14, 4 Er 3.14
Cd: 0.5000 0.0000 0.5000  4 Mg 3.14, 4 Er 3.14

Summary:
* formation enthalpy at 0 K: -0.240 eV/atom
* symmetry: P4/mmm, No. 123
* M_tot: 0.000 μB per atom
* energy above the lowest structure with this stoichiometry: 51 meV/atom


This record from Alexandria describes a geometry-optimized Mg8CdAu2 structure. The functional is PBE.

a b c (Å): 7.9982 7.9982 7.9982
angles (deg): 147.25 123.78 66.61
With the nearest neighbours (Å) after each atom.
Fractional coordinates of all 11 atoms:
Mg: 0.1200 0.3384 0.7815  3 Au 2.81-2.93, 5 Mg 2.96-3.13, 1 Cd 3.03
Mg: 0.1544 0.1544 0.0000  8 Mg 2.96-3.10, 2 Cd 3.06, 2 Au 3.09
Mg: 0.3049 0.0000 0.3049  2 Au 2.91, 7 Mg 2.94-3.13, 2 Cd 3.22
Mg: 0.4431 0.6616 0.7815  3 Au 2.81-2.93, 5 Mg 2.96-3.13, 1 Cd 3.03
Mg: 0.5569 0.3384 0.2185  3 Au 2.81-2.93, 5 Mg 2.96-3.13, 1 Cd 3.03
Mg: 0.6951 0.0000 0.6951  2 Au 2.91, 7 Mg 2.94-3.13, 2 Cd 3.22
Mg: 0.8456 0.8456 0.0000  8 Mg 2.96-3.10, 2 Cd 3.06, 2 Au 3.09
Mg: 0.8800 0.6616 0.2185  3 Au 2.81-2.93, 5 Mg 2.96-3.13, 1 Cd 3.03
Cd: 0.0000 0.5000 0.5000  12 Mg 3.03-3.22
Au: 0.3122 0.8122 0.5000  10 Mg 2.81-3.09
Au: 0.6878 0.1878 0.5000  10 Mg 2.81-3.09

Summary:
* formation enthalpy at 0 K: -0.294 eV/atom
* symmetry: Immm, No. 71
* M_tot: 0.000 μB per atom
* energy above the lowest structure with this stoichiometry: 0 meV/atom


This record from Alexandria describes a geometry-optimized AgTeP3 structure. The functional is PBE.

a b c (Å): 4.8183 4.8183 4.8183
angles (deg): 90.00 90.00 90.00
With the nearest neighbours (Å) after each atom.
Fractional coordinates of all 5 atoms:
Ag: 0.0000 0.0000 0.0000  6 P 2.41
Te: 0.5000 0.5000 0.5000  12 P 3.41
P: 0.0000 0.0000 0.5000  2 Ag 2.41
P: 0.0000 0.5000 0.0000  2 Ag 2.41
P: 0.5000 0.0000 0.0000  2 Ag 2.41

Summary:
* symmetry: Pm-3m, No. 221
* M_tot: 0.000 μB per atom
* energy above the lowest structure with this stoichiometry: 0 meV/atom
* ΔE_f (raw): 1.138 eV per atom


This record from Alexandria describes a geometry-optimized NaPmAs structure. The functional is PBE.

a b c (Å): 7.1004 7.1004 7.1004
angles (deg): 146.56 146.56 48.02
With the nearest neighbours (Å) after each atom.
Fractional coordinates of all 3 atoms:
Na: 0.0000 0.0000 0.0000  1 As 3.11
Pm: 0.7156 0.7156 0.0000  4 As 2.91
As: 0.2399 0.2399 0.0000  4 Pm 2.91, 1 Na 3.11

Summary:
* formation enthalpy at 0 K: -0.573 eV/atom
* symmetry: I4mm, No. 107
* M_tot: 0.000 μB per atom
* energy above the lowest structure with this stoichiometry: 135 meV/atom


no.,calculated total energy (eV per atom)
1,-7.337
2,-6.036
3,-8.102
4,-4.062
5,-2.237
6,-2.133
7,-3.307
8,-4.146